# 1
Compound: Tl2CdInHg4
Source: the Alexandria database
Functional: PBE-GGA
Structure: optimized geometry

Output
- E_tot (eV/atom) = -1.18

```
data_Tl2CdInHg4
_chemical_formula_sum 'Tl4 Cd2 In2 Hg8'
_cell_length_a 8.933
_cell_length_b 8.933
_cell_length_c 8.933
_cell_angle_alpha 135.32
_cell_angle_beta 103.81
_cell_angle_gamma 92.88
_symmetry_space_group_name_H-M 'P 1'
_symmetry_Int_Tables_number 1
_symmetry_space_group_name_Hall 'P 1'
loop_
_atom_site_label
_atom_site_type_symbol
_atom_site_fract_x
_atom_site_fract_y
_atom_site_fract_z
Tl1 Tl 0.000 0.000 0.000
Tl2 Tl 0.500 0.000 0.000
Tl3 Tl 0.500 0.000 0.500
Tl4 Tl 0.500 0.500 0.500
Cd1 Cd 0.000 0.000 0.500
Cd2 Cd 0.000 0.500 0.000
In1 In 0.000 0.500 0.500
In2 In 0.500 0.500 0.000
Hg1 Hg 0.234 0.744 0.489
Hg2 Hg 0.244 0.253 0.509
Hg3 Hg 0.244 0.736 0.991
Hg4 Hg 0.245 0.256 0.989
Hg5 Hg 0.755 0.744 0.011
Hg6 Hg 0.756 0.264 0.009
Hg7 Hg 0.756 0.747 0.491
Hg8 Hg 0.766 0.256 0.511
```



# 2
Compound: TlCd2In2Hg2
Source: the Alexandria database
Functional: PBE-GGA
Structure: optimized geometry

Output
- E_tot (eV/atom) = -1.43

```
data_TlCd2In2Hg2
_chemical_formula_sum 'Tl1 Cd2 In2 Hg2'
_cell_length_a 8.848
_cell_length_b 8.848
_cell_length_c 8.848
_cell_angle_alpha 33.27
_cell_angle_beta 33.27
_cell_angle_gamma 33.27
_symmetry_space_group_name_H-M 'P 1'
_symmetry_Int_Tables_number 1
_symmetry_space_group_name_Hall 'P 1'
loop_
_atom_site_label
_atom_site_type_symbol
_atom_site_fract_x
_atom_site_fract_y
_atom_site_fract_z
Tl1 Tl 0.000 0.000 0.000
Cd1 Cd 0.277 0.277 0.277
Cd2 Cd 0.723 0.723 0.723
In1 In 0.139 0.139 0.139
In2 In 0.861 0.861 0.861
Hg1 Hg 0.424 0.424 0.424
Hg2 Hg 0.576 0.576 0.576
```



Formation energy from the elements for the records above, in order: 0.02 0.04 eV per atom
DOS(E_F) for the records above, in order: 4.01 2.63 states/eV/f.u.